Material: Ag2RuF
Method: DFT, PBE-GGA
State: optimized geometry

Summary:
Energy   -3.82 eV/atom
SG   Fm-3m
ΔE_f (raw)   0.39 eV/atom
Distance to the lowest polymorph of the same formula   0.599 eV/atom
N(E_F)   2.409 states/eV/f.u.

Lattice parameters (Å, degrees): 4.5162 4.5162 4.5162 60.00 60.00 60.00
Last column: nearest neighbours and their distance in Å.
Positions (direct):
Ru (0.5000, 0.5000, 0.5000)  8 Ag 2.77
Ag (0.2500, 0.2500, 0.2500)  4 F 2.77, 4 Ru 2.77
Ag (0.7500, 0.7500, 0.7500)  4 F 2.77, 4 Ru 2.77
F (0.0000, 0.0000, 0.0000)  8 Ag 2.77